Computed, not measured: a relaxed structure of MgCr2TeN at the PBE level of DFT.

abc: 5.280 3.708 5.280
angles: 90.00 90.00 90.00
Element x y z (fractional)
Cr: 0.000 0.000 0.500
Cr: 0.500 0.000 0.000
Mg: 0.000 0.000 0.000
Te: 0.500 0.500 0.500
N: 0.000 0.500 0.000

Properties
Total magnetization, μB per cell: 8.89
DOS(E_F), states/eV per atom: 0.580
Raw formation energy, eV per atom: 1.102
Density, g cm⁻³: 4.34
Space group: P4/mmm
Crystal system: tetragonal